[1]
Computed, not measured: a PBEsol-optimized structure of ZnTeOsI2 at the meta-GGA SCAN level of DFT.

Cell lengths 5.231, 5.231, 5.337 Å; angles 90.00, 90.00, 90.00 degrees
Sites, in units of the cell vectors:
Zn1 0.000 0.000 0.000
Te1 0.000 0.000 0.500
Os1 0.500 0.500 0.500
I1 0.000 0.500 0.000
I2 0.500 0.000 0.000

- crystal system = tetragonal
- total energy (eV per atom) = -37.78

***

[2]
Computed, not measured: a PBEsol-optimized structure of TiOs2I2 at the meta-GGA SCAN level of DFT.

Cell lengths 10.430, 10.430, 10.430 Å; angles 161.13, 161.13, 26.81 degrees
Sites, in units of the cell vectors:
Ti1 0.000 0.000 0.000
Os1 0.250 0.750 0.500
Os2 0.750 0.250 0.500
I1 0.416 0.416 0.000
I2 0.584 0.584 0.000

- crystal system = tetragonal
- total energy (eV per atom) = -45.78

***

[3]
Computed, not measured: a PBEsol-optimized structure of TlOs3I at the meta-GGA SCAN level of DFT.

Cell lengths 4.799, 4.799, 4.799 Å; angles 90.00, 90.00, 90.00 degrees
Sites, in units of the cell vectors:
Tl1 0.000 0.000 0.000
Os1 0.000 0.500 0.500
Os2 0.500 0.000 0.500
Os3 0.500 0.500 0.000
I1 0.500 0.500 0.500

- crystal system = cubic
- total energy (eV per atom) = -62.10

***

[4]
Computed, not measured: a PBEsol-optimized structure of TlZnOsI2 at the meta-GGA SCAN level of DFT.

Cell lengths 5.385, 5.385, 5.298 Å; angles 90.00, 90.00, 90.00 degrees
Sites, in units of the cell vectors:
Tl1 0.000 0.000 0.000
Zn1 0.000 0.000 0.500
Os1 0.500 0.500 0.000
I1 0.000 0.500 0.500
I2 0.500 0.000 0.500

- crystal system = tetragonal
- total energy (eV per atom) = -44.96

***

[5]
Computed, not measured: a PBEsol-optimized structure of OsWI2 at the meta-GGA SCAN level of DFT.

Cell lengths 4.720, 4.720, 4.720 Å; angles 60.00, 60.00, 60.00 degrees
Sites, in units of the cell vectors:
Os1 0.000 0.000 0.000
W1 0.500 0.500 0.500
I1 0.250 0.250 0.250
I2 0.750 0.750 0.750

- crystal system = cubic
- total energy (eV per atom) = -51.90

***

[6]
Computed, not measured: a PBEsol-optimized structure of OsWI3 at the meta-GGA SCAN level of DFT.

Cell lengths 5.335, 5.335, 5.335 Å; angles 90.00, 90.00, 90.00 degrees
Sites, in units of the cell vectors:
Os1 0.000 0.000 0.000
W1 0.500 0.500 0.500
I1 0.000 0.500 0.500
I2 0.500 0.000 0.500
I3 0.500 0.500 0.000

- crystal system = cubic
- total energy (eV per atom) = -48.39

***

[7]
Computed, not measured: a PBEsol-optimized structure of Y6OsI10 at the meta-GGA SCAN level of DFT.

Cell lengths 7.537, 9.468, 9.509 Å; angles 107.44, 96.96, 104.87 degrees
Sites, in units of the cell vectors:
Y1 0.031 0.213 0.415
Y2 0.115 0.540 0.255
Y3 0.357 0.628 0.669
Y4 0.643 0.372 0.331
Y5 0.885 0.460 0.745
Y6 0.969 0.787 0.585
Os1 0.000 0.500 0.500
I1 0.089 0.873 0.316
I2 0.213 0.235 0.145
I3 0.267 0.589 0.965
I4 0.359 0.960 0.776
I5 0.453 0.312 0.594
I6 0.547 0.688 0.406
I7 0.641 0.040 0.224
I8 0.733 0.411 0.035
I9 0.787 0.765 0.855
I10 0.911 0.127 0.684

- crystal system = triclinic
- total energy (eV per atom) = -37.03

***

[8]
Computed, not measured: a PBEsol-optimized structure of PI3 at the meta-GGA SCAN level of DFT.

Cell lengths 6.972, 6.972, 7.076 Å; angles 90.00, 90.00, 120.00 degrees
Sites, in units of the cell vectors:
P1 0.333 0.667 0.000
P2 0.667 0.333 0.500
I1 0.021 0.686 0.151
I2 0.314 0.336 0.151
I3 0.336 0.021 0.651
I4 0.664 0.979 0.151
I5 0.686 0.664 0.651
I6 0.979 0.314 0.651

- crystal system = hexagonal
- total energy (eV per atom) = -30.16

***

[9]
Computed, not measured: a PBEsol-optimized structure of PPbI2 at the meta-GGA SCAN level of DFT.

Cell lengths 10.492, 10.492, 10.492 Å; angles 151.44, 151.44, 40.83 degrees
Sites, in units of the cell vectors:
P1 0.000 0.000 0.000
P2 0.750 0.250 0.500
Pb1 0.250 0.750 0.500
Pb2 0.500 0.500 0.000
I1 0.097 0.625 0.972
I2 0.375 0.347 0.472
I3 0.653 0.125 0.028
I4 0.875 0.903 0.528

- crystal system = tetragonal
- total energy (eV per atom) = -39.44

***

[10]
Computed, not measured: a PBEsol-optimized structure of SbPPdI2 at the meta-GGA SCAN level of DFT.

Cell lengths 5.240, 5.240, 5.234 Å; angles 90.00, 90.00, 90.00 degrees
Sites, in units of the cell vectors:
Sb1 0.000 0.000 0.000
P1 0.000 0.000 0.500
Pd1 0.500 0.500 0.000
I1 0.000 0.500 0.500
I2 0.500 0.000 0.500

- crystal system = tetragonal
- total energy (eV per atom) = -29.91

***

[11]
Computed, not measured: a PBEsol-optimized structure of TaP2PdI at the meta-GGA SCAN level of DFT.

Cell lengths 4.691, 4.691, 5.259 Å; angles 90.00, 90.00, 90.00 degrees
Sites, in units of the cell vectors:
Ta1 0.000 0.000 0.000
P1 0.000 0.500 0.000
P2 0.500 0.000 0.000
Pd1 0.000 0.000 0.500
I1 0.500 0.500 0.500

- crystal system = tetragonal
- total energy (eV per atom) = -30.75

***

[12]
Computed, not measured: a PBEsol-optimized structure of Te2PPdI at the meta-GGA SCAN level of DFT.

Cell lengths 5.179, 5.179, 5.186 Å; angles 90.00, 90.00, 90.00 degrees
Sites, in units of the cell vectors:
Te1 0.000 0.500 0.000
Te2 0.500 0.000 0.000
P1 0.000 0.000 0.500
Pd1 0.500 0.500 0.000
I1 0.500 0.500 0.500

- crystal system = tetragonal
- total energy (eV per atom) = -30.13